1.
Entry from the Alexandria database: an optimized crystal structure of In3CI (GGA-PBE).

Electronic total energy   -2.094 eV per atom
Symmetry   Pm-3m (221)
Formation energy (no corrections)   822 kJ/mol of formula units

abc: 6.445 6.445 6.445
angles: 90.00 90.00 90.00
Fractional coordinates of all 5 atoms:
In  0.000  0.000  0.500
In  0.000  0.500  0.000
In  0.500  0.000  0.000
C  0.500  0.500  0.500
I  0.000  0.000  0.000

2.
Entry from the Alexandria database: an optimized crystal structure of InCI2 (GGA-PBE).

Electronic total energy   -3.049 eV per atom
Symmetry   P1 (1)
Formation energy (no corrections)   277 kJ/mol of formula units

abc: 4.150 5.069 7.741
angles: 103.13 96.92 114.10
Fractional coordinates of all 4 atoms:
In  0.000  0.000  0.000
C  0.397  0.793  0.000
I  0.128  0.382  0.731
I  0.386  0.656  0.269

3.
Entry from the Alexandria database: an optimized crystal structure of InC3I (GGA-PBE).

Electronic total energy   -3.237 eV per atom
Symmetry   Pm-3m (221)
Formation energy (no corrections)   1522 kJ/mol of formula units

abc: 4.478 4.478 4.478
angles: 90.00 90.00 90.00
Fractional coordinates of all 5 atoms:
In  0.000  0.000  0.000
C  0.000  0.000  0.500
C  0.000  0.500  0.000
C  0.500  0.000  0.000
I  0.500  0.500  0.500

4.
Entry from the Alexandria database: an optimized crystal structure of InCI2 (GGA-PBE).

Electronic total energy   -3.196 eV per atom
Symmetry   Cm (8)
Formation energy (no corrections)   220 kJ/mol of formula units

abc: 3.821 3.821 9.339
angles: 101.10 101.10 60.04
Fractional coordinates of all 4 atoms:
In  0.000  0.000  0.000
C  0.645  0.645  0.930
I  0.097  0.097  0.310
I  0.571  0.571  0.695

5.
Entry from the Alexandria database: an optimized crystal structure of InCI2 (GGA-PBE).

Electronic total energy   -3.177 eV per atom
Symmetry   Cm (8)
Formation energy (no corrections)   227 kJ/mol of formula units

abc: 3.826 3.826 8.778
angles: 90.34 90.34 60.91
Fractional coordinates of all 4 atoms:
In  0.000  0.000  0.000
C  0.665  0.665  0.088
I  0.325  0.325  0.745
I  0.667  0.667  0.329

6.
Entry from the Alexandria database: an optimized crystal structure of InC2I (GGA-PBE).

Electronic total energy   -3.005 eV per atom
Symmetry   Fm-3m (225)
Formation energy (no corrections)   1034 kJ/mol of formula units

abc: 4.486 4.486 4.486
angles: 60.00 60.00 60.00
Fractional coordinates of all 4 atoms:
In  0.000  0.000  0.000
C  0.250  0.250  0.250
C  0.750  0.750  0.750
I  0.500  0.500  0.500

7.
Entry from the Alexandria database: an optimized crystal structure of InC3I (GGA-PBE).

Electronic total energy   -3.216 eV per atom
Symmetry   Pm-3m (221)
Formation energy (no corrections)   1532 kJ/mol of formula units

abc: 4.235 4.235 4.235
angles: 90.00 90.00 90.00
Fractional coordinates of all 5 atoms:
In  0.000  0.000  0.000
C  0.000  0.500  0.500
C  0.500  0.000  0.500
C  0.500  0.500  0.000
I  0.500  0.500  0.500

8.
Entry from the Alexandria database: an optimized crystal structure of In2CI (GGA-PBE).

Electronic total energy   -3.516 eV per atom
Symmetry   I-42d (122)
Formation energy (no corrections)   211 kJ/mol of formula units

abc: 6.806 6.806 6.806
angles: 120.88 120.88 88.48
Fractional coordinates of all 8 atoms:
In  0.375  0.243  0.368
In  0.757  0.125  0.132
In  0.875  0.007  0.632
In  0.993  0.625  0.868
C  0.000  0.000  0.000
C  0.750  0.250  0.500
I  0.250  0.750  0.500
I  0.500  0.500  0.000